1.
Computed, not measured: a relaxed structure of TiMoC at the PBE level of DFT.

Lattice parameters (Å, degrees): 4.769 6.056 5.282 90.00 90.09 90.00
Space group P2_1/c (No. 14)
Asymmetric unit:
Ti (0.243, 0.126, 0.413) (multiplicity 4)
Mo (0.255, 0.623, 0.417) (multiplicity 4)
C (0.499, 0.126, 0.748) (multiplicity 4)

Calculated values
- N(E_F) (states/eV per atom) = 0.514
- mass density (g/cm3) = 6.79
- total magnetization (μB per cell) = 0.0
- total energy (eV/atom) = -9.752
- distance to the lowest polymorph of the same formula (eV/atom) = 0.000
- calculated volume (Å³ per cell) = 152.52

2.
Computed, not measured: a relaxed structure of TiMo2C2 at the PBE level of DFT.

Lattice parameters (Å, degrees): 5.308 9.002 5.282 90.00 109.97 90.00
Space group C2/c (No. 15)
Asymmetric unit:
Ti (0.000, 0.080, 0.250) (multiplicity 4)
Mo (0.000, 0.250, 0.750) (multiplicity 4)
Mo (0.000, 0.426, 0.250) (multiplicity 4)
C (0.245, 0.081, 0.997) (multiplicity 8)

Calculated values
- N(E_F) (states/eV per atom) = 0.507
- mass density (g/cm3) = 7.39
- total magnetization (μB per cell) = 0.0
- total energy (eV/atom) = -9.950
- calculated volume (Å³ per cell) = 237.24

3.
Computed, not measured: a relaxed structure of Ti4MoC4 at the PBE level of DFT.

Lattice parameters (Å, degrees): 4.355 5.286 5.290 80.26 65.73 65.78
Space group P-1 (No. 2)
Asymmetric unit:
Ti (0.108, 0.202, 0.081) (multiplicity 2)
Ti (0.311, 0.581, 0.298) (multiplicity 2)
Mo (0.500, 0.000, 0.500) (multiplicity 1)
C (0.201, 0.397, 0.700) (multiplicity 2)
C (0.401, 0.800, 0.897) (multiplicity 2)

Calculated values
- N(E_F) (states/eV per atom) = 0.533
- mass density (g/cm3) = 5.50
- total magnetization (μB per cell) = 0.0
- total energy (eV/atom) = -9.491
- calculated volume (Å³ per cell) = 101.26

4.
Computed, not measured: a relaxed structure of Ti2Mo2C at the PBE level of DFT.

Lattice parameters (Å, degrees): 5.645 5.645 4.730 90.00 90.00 90.00
Space group P4/mbm (No. 127)
Asymmetric unit:
Ti (0.159, 0.341, 0.000) (multiplicity 4)
Mo (0.167, 0.667, 0.500) (multiplicity 4)
C (0.000, 0.000, 0.500) (multiplicity 2)

Calculated values
- N(E_F) (states/eV per atom) = 1.467
- mass density (g/cm3) = 6.60
- total magnetization (μB per cell) = 0.0
- total energy (eV/atom) = -9.095
- distance to the lowest polymorph of the same formula (eV/atom) = 0.000
- calculated volume (Å³ per cell) = 150.73

5.
Computed, not measured: a relaxed structure of Ti2Mo2C at the PBE level of DFT.

Lattice parameters (Å, degrees): 3.118 3.118 15.067 90.00 90.00 90.00
Space group I4/mmm (No. 139)
Asymmetric unit:
Ti (0.000, 0.500, 0.250) (multiplicity 4)
Mo (0.000, 0.000, 0.080) (multiplicity 4)
C (0.000, 0.000, 0.500) (multiplicity 2)

Calculated values
- N(E_F) (states/eV per atom) = 1.153
- mass density (g/cm3) = 6.79
- total magnetization (μB per cell) = 0.0
- total energy (eV/atom) = -7.987
- distance to the lowest polymorph of the same formula (eV/atom) = 1.109
- calculated volume (Å³ per cell) = 146.46

6.
Computed, not measured: a relaxed structure of Ti2MoC2 at the PBE level of DFT.

Lattice parameters (Å, degrees): 9.562 4.359 6.046 90.00 109.08 90.00
Space group C2/m (No. 12)
Asymmetric unit:
Ti (0.005, 0.000, 0.242) (multiplicity 4)
Ti (0.164, 0.500, 0.077) (multiplicity 4)
Mo (0.160, 0.500, 0.585) (multiplicity 4)
C (0.000, 0.500, 0.251) (multiplicity 4)
C (0.166, 0.000, 0.084) (multiplicity 4)

Calculated values
- N(E_F) (states/eV per atom) = 0.537
- mass density (g/cm3) = 6.01
- total magnetization (μB per cell) = 0.0
- total energy (eV/atom) = -9.578
- distance to the lowest polymorph of the same formula (eV/atom) = 0.000
- calculated volume (Å³ per cell) = 238.19

> Which value of total energy does entry 3 give?

-9.491 eV/atom